No. 1
A plane-wave DFT calculation with PBE was carried out for a geometry-optimized InWAu2 structure.

For the final energy, the calculation gives -20.8 eV/cell. The energy of formation from the pure elements comes out at 370 meV per atom. Its space-group type is No. 65. As for the density of states at the Fermi level: 2.75 states/eV/cell.

Unit cell a=5.2505 b=5.2505 c=2.8616 alpha=90.00 beta=90.00 gamma=112.70
Fractional coordinates of all 4 atoms:
Au1 0.5000 0.5000 0.0000
Au2 0.0000 0.0000 0.0000
W1 0.0000 0.5000 0.5000
In1 0.5000 0.0000 0.5000



No. 2
A plane-wave DFT calculation with PBE was carried out for a geometry-optimized Pu6Pd5Ru structure.

For the final energy, the calculation gives -125.0 eV/cell. The energy of formation from the pure elements comes out at -313 meV per atom. Its space-group type is No. 2. As for the density of states at the Fermi level: 60.10 states/eV/cell.

Unit cell a=4.9675 b=6.9172 c=7.8544 alpha=89.17 beta=71.05 gamma=89.95
Fractional coordinates of all 12 atoms:
Pu1 0.5031 0.2410 0.9953
Pu2 0.1876 0.7504 0.6778
Pu3 0.8175 0.7591 0.3141
Pu4 0.1825 0.2409 0.6859
Pu5 0.4969 0.7590 0.0047
Pu6 0.8124 0.2496 0.3222
Pd1 0.7075 0.5056 0.6472
Pd2 0.0000 0.5000 0.0000
Pd3 0.2917 0.0086 0.3489
Pd4 0.2925 0.4944 0.3528
Pd5 0.7083 0.9914 0.6511
Ru1 0.0000 0.0000 0.0000